A:
DFT (PBE) results for a relaxed structure of NaVSe3.

Results
Density (g/cm3): 4.1
Symmetry: C2/c, No. 15

a b c (Å): 6.4142 9.0457 9.0457
angles (deg): 76.21 90.03 90.03
With the nearest neighbours (Å) after each atom.
Fractional coordinates of all 20 atoms:
Se (0.3279, 0.3559, 0.3531)  2 V 2.47-2.49
Se (0.4364, 0.9004, 0.3924)  2 V 2.44-2.57
Se (0.6721, 0.6441, 0.6469)  2 V 2.47-2.49
Se (0.1721, 0.6469, 0.6441)  2 V 2.47-2.49
Se (0.5636, 0.0996, 0.6076)  2 V 2.44-2.57
Se (0.0636, 0.6076, 0.0996)  2 V 2.44-2.57
Se (0.6013, 0.7795, 0.9351)  2 V 2.45-2.49
Se (0.1013, 0.9351, 0.7795)  2 V 2.45-2.49
Se (0.8987, 0.0649, 0.2205)  2 V 2.45-2.49
Se (0.8279, 0.3531, 0.3559)  2 V 2.47-2.49
Se (0.9364, 0.3924, 0.9004)  2 V 2.44-2.57
Se (0.3987, 0.2205, 0.0649)  2 V 2.45-2.49
Na (0.7500, 0.0979, 0.9021)  6 Se 2.92-3.04
Na (0.7500, 0.6882, 0.3118)  4 Se 2.99-3.00
Na (0.2500, 0.3118, 0.6882)  4 Se 2.99-3.00
Na (0.2500, 0.9021, 0.0979)  6 Se 2.92-3.04
V (0.0786, 0.3159, 0.1577)  6 Se 2.44-2.57
V (0.9214, 0.6841, 0.8423)  6 Se 2.44-2.57
V (0.5786, 0.1577, 0.3159)  6 Se 2.44-2.57
V (0.4214, 0.8423, 0.6841)  6 Se 2.44-2.57

---

B:
DFT (PBE) results for a relaxed structure of NaVSe3.

Results
Density (g/cm3): 4.4
Symmetry: Pm-3m, No. 221

a b c (Å): 4.9100 4.9100 4.9100
angles (deg): 90.00 90.00 90.00
With the nearest neighbours (Å) after each atom.
Fractional coordinates of all 5 atoms:
Se (0.5000, 0.0000, 0.0000)  2 V 2.46
Se (0.0000, 0.5000, 0.0000)  2 V 2.46
Se (0.0000, 0.0000, 0.5000)  2 V 2.46
V (0.0000, 0.0000, 0.0000)  6 Se 2.46
Na (0.5000, 0.5000, 0.5000)  12 Se 3.47

---

Most stable of them? A.